Below is an optimized crystal structure of Zr2CoCu, with properties calculated at the PBE-GGA level.

Energy of formation from the pure elements in eV per formula unit: -1.0
Density of states at the Fermi level in states/eV per atom: 0.736
DFT total energy in eV per formula unit: -29.32

a b c (Å): 5.3328 4.0589 6.6945
angles (deg): 90.00 108.54 90.00
With the nearest neighbours (Å) after each atom.
Space group P2_1/m (No. 11)
Inequivalent atoms, fractional coordinates:
1 Zr 0.2164 0.2500 0.4380 x2  4 Co 2.67-2.89, 3 Cu 2.74-2.77
2 Zr 0.2210 0.2500 0.9219 x2  3 Co 2.64-2.83, 4 Cu 2.73-2.83
3 Co 0.3312 0.7500 0.7115 x2  2 Cu 2.63, 7 Zr 2.64-2.89
4 Cu 0.3387 0.7500 0.2091 x2  2 Co 2.63, 7 Zr 2.73-2.83

---

Below is an optimized crystal structure of K4Cd3In2, with properties calculated at the PBE-GGA level.

Energy of formation from the pure elements in eV per formula unit: -0.6
Density of states at the Fermi level in states/eV per atom: 0.547
DFT total energy in eV per formula unit: -13.22

a b c (Å): 18.0335 4.9644 8.1838
angles (deg): 90.00 104.64 90.00
With the nearest neighbours (Å) after each atom.
Space group C2/m (No. 12)
Inequivalent atoms, fractional coordinates:
1 K 0.0839 0.0000 0.3989 x4  2 In 3.63-3.70, 4 Cd 3.70-4.07, 1 K 3.80
2 K 0.2312 0.5000 0.1888 x4  3 In 3.72-3.76, 4 Cd 3.83-4.06, 3 K 4.10-4.15
3 Cd 0.0000 0.5000 0.0000 x2  4 In 3.03, 2 Cd 3.11
4 Cd 0.0999 0.5000 0.7406 x4  2 In 3.05, 1 Cd 3.11
5 In 0.0875 0.0000 0.9486 x4  4 Cd 3.03-3.05

---

Below is an optimized crystal structure of BaLaAs2, with properties calculated at the PBE-GGA level.

Energy above the most stable polymorph in this dataset in meV/atom: 831
Energy of formation from the pure elements in eV per formula unit: -1.4
Density of states at the Fermi level in states/eV per atom: 0.896
DFT total energy in eV per formula unit: -17.51

a b c (Å): 7.5856 7.5856 7.5856
angles (deg): 90.00 90.00 90.00
With the nearest neighbours (Å) after each atom.
Space group F-43m (No. 216)
Inequivalent atoms, fractional coordinates:
1 Ba 0.0000 0.0000 0.0000 x4  4 As 3.28, 4 La 3.28
2 La 0.2500 0.2500 0.7500 x4  4 Ba 3.28, 4 As 3.28
3 As 0.0000 0.0000 0.5000 x4  4 La 3.28, 4 As 3.28
4 As 0.2500 0.2500 0.2500 x4  4 As 3.28, 4 Ba 3.28

---

Below is an optimized crystal structure of La2TlCd16, with properties calculated at the PBE-GGA level.

Energy of formation from the pure elements in eV per formula unit: -3.3
Density of states at the Fermi level in states/eV per atom: 0.331
DFT total energy in eV per formula unit: -30.16

a b c (Å): 10.2656 10.2656 14.9318
angles (deg): 90.00 90.00 120.00
With the nearest neighbours (Å) after each atom.
Space group R3m (No. 160, hexagonal axes)
Inequivalent atoms, fractional coordinates:
1 La 0.0000 0.0000 0.0000 x3  16 Cd 3.47-3.82
2 La 0.0000 0.0000 0.3350 x3  1 Tl 3.43, 12 Cd 3.57-3.83
3 Tl 0.0000 0.0000 0.5650 x3  7 Cd 3.03-3.35
4 Cd 0.0000 0.0000 0.7678 x3  1 Tl 3.03, 6 Cd 3.04-3.32
5 Cd 0.0176 0.5088 0.8173 x9  8 Cd 2.86-3.18
6 Cd 0.0297 0.3621 0.3340 x18  8 Cd 2.95-3.18
7 Cd 0.1718 0.3436 0.5014 x9  9 Cd 2.95-3.10, 1 Tl 3.20
8 Cd 0.1738 0.3476 0.8498 x9  8 Cd 2.86-3.17

---

Below is an optimized crystal structure of Y7Ho4Er, with properties calculated at the PBE-GGA level.

Energy above the most stable polymorph in this dataset in meV/atom: 0
Energy of formation from the pure elements in eV per formula unit: 1.1
Density of states at the Fermi level in states/eV per atom: 1.814
DFT total energy in eV per formula unit: -67.03

a b c (Å): 6.4958 6.7844 9.0640
angles (deg): 86.13 76.62 81.97
With the nearest neighbours (Å) after each atom.
Space group P-1 (No. 2)
Inequivalent atoms, fractional coordinates:
1 Y 0.0000 0.0000 0.0000 x1  4 Ho 3.38-3.62, 2 Er 3.39, 4 Y 3.49-3.71
2 Y 0.1901 0.6086 0.3870 x2  5 Y 3.28-3.62, 5 Ho 3.30-3.58
3 Y 0.3171 0.1956 0.6387 x2  5 Y 3.41-3.71, 4 Ho 3.45-3.52
4 Y 0.4867 0.7488 0.0505 x2  5 Y 3.36-3.53, 4 Ho 3.38-3.68, 1 Er 3.46
5 Ho 0.1605 0.1197 0.3080 x2  7 Y 3.38-3.65, 2 Ho 3.49-3.51
6 Ho 0.3583 0.6883 0.7166 x2  8 Y 3.30-3.68, 1 Er 3.36, 2 Ho 3.49-3.51
7 Er 0.0000 0.5000 0.0000 x1  2 Ho 3.36, 4 Y 3.39-3.46

---

Below is an optimized crystal structure of CsTbAgSe3, with properties calculated at the PBE-GGA level.

Uncorrected formation energy in meV per atom: -1138
Density of states at the Fermi level in states/eV per atom: 1.101
DFT total energy in eV per formula unit: -25.62

a b c (Å): 4.1878 16.5593 10.8989
angles (deg): 90.00 90.00 90.00
With the nearest neighbours (Å) after each atom.
Space group Cmcm (No. 63)
Inequivalent atoms, fractional coordinates:
1 Cs 0.0000 0.2484 0.2500 x4  8 Se 3.69-3.89
2 Tb 0.0000 0.5000 0.0000 x4  6 Se 2.91-2.93
3 Ag 0.0000 0.0347 0.7500 x4  4 Se 2.61-2.66
4 Se 0.0000 0.1179 0.5466 x8  1 Ag 2.61, 2 Tb 2.91
5 Se 0.0000 0.4354 0.7500 x4  2 Ag 2.66, 2 Tb 2.93

---

Below is an optimized crystal structure of NdInPb2S5, with properties calculated at the PBE-GGA level.

Uncorrected formation energy in meV per atom: -929
Density of states at the Fermi level in states/eV per atom: 0.000
DFT total energy in eV per formula unit: -43.92

a b c (Å): 4.0799 18.1112 12.8424
angles (deg): 90.00 90.00 90.00
With the nearest neighbours (Å) after each atom.
Space group Cmc2_1 (No. 36)
Inequivalent atoms, fractional coordinates:
1 Nd 0.0000 0.2072 0.0000 x4  6 S 2.78-2.98
2 In 0.0000 0.4573 0.4238 x4  4 S 2.43-2.59
3 Pb 0.0000 0.1277 0.2958 x4  4 S 2.86-3.14
4 Pb 0.0000 0.1299 0.6522 x4  3 S 2.85-2.87
5 S 0.0000 0.0446 0.0373 x4  2 In 2.51
6 S 0.0000 0.2881 0.6527 x4  2 Nd 2.83, 3 Pb 2.87-3.14
7 S 0.0000 0.3233 0.3526 x4  1 In 2.59, 2 Nd 2.84
8 S 0.0000 0.3605 0.9980 x4  1 Nd 2.78, 2 Pb 2.85
9 S 0.0000 0.4793 0.7571 x4  1 In 2.43

---

Below is an optimized crystal structure of Ba12SrCa7, with properties calculated at the PBE-GGA level.

Energy of formation from the pure elements in eV per formula unit: 3.3
Density of states at the Fermi level in states/eV per atom: 1.836
DFT total energy in eV per formula unit: -35.49

a b c (Å): 23.0758 23.0758 7.6260
angles (deg): 90.00 90.00 120.00
With the nearest neighbours (Å) after each atom.
Space group R-3 (No. 148, hexagonal axes)
Inequivalent atoms, fractional coordinates:
1 Ba 0.0228 0.6005 0.0432 x18  2 Ca 3.99-4.08, 4 Ba 4.09-4.39
2 Ba 0.0959 0.2231 0.8576 x18  3 Ca 3.98-4.01, 1 Ba 4.39
3 Sr 0.0000 0.0000 0.5000 x3  8 Ca 3.55-3.81
4 Ca 0.0000 0.0000 0.0000 x3  2 Sr 3.81
5 Ca 0.0534 0.1656 0.3592 x18  1 Sr 3.55